(1)
# NaPm4Er3S8

A relaxed NaPm4Er3S8 crystal (PBE, Alexandria via LeMat-Bulk).

Cell lengths 7.9601, 7.9601, 7.9601 Å; angles 59.46, 59.46, 59.46 degrees
Last column: nearest neighbours and their distance in Å.
Fractional coordinates of all 16 atoms:
Na: 0.0000 0.0000 0.0000  6 S 2.77
Pm: 0.0000 0.0000 0.5000  6 S 2.86
Pm: 0.0000 0.5000 0.0000  6 S 2.86
Pm: 0.5000 0.0000 0.0000  6 S 2.86
Pm: 0.5000 0.5000 0.5000  6 S 2.84
Er: 0.0000 0.5000 0.5000  6 S 2.74
Er: 0.5000 0.0000 0.5000  6 S 2.74
Er: 0.5000 0.5000 0.0000  6 S 2.74
S: 0.2468 0.2468 0.7424  2 Er 2.74, 1 Na 2.77, 3 Pm 2.84-2.86
S: 0.2468 0.7424 0.2468  2 Er 2.74, 1 Na 2.77, 3 Pm 2.84-2.86
S: 0.2553 0.2553 0.2553  3 Er 2.74, 3 Pm 2.86
S: 0.2576 0.7532 0.7532  2 Er 2.74, 1 Na 2.77, 3 Pm 2.84-2.86
S: 0.7424 0.2468 0.2468  2 Er 2.74, 1 Na 2.77, 3 Pm 2.84-2.86
S: 0.7447 0.7447 0.7447  3 Er 2.74, 3 Pm 2.86
S: 0.7532 0.2576 0.7532  2 Er 2.74, 1 Na 2.77, 3 Pm 2.84-2.86
S: 0.7532 0.7532 0.2576  2 Er 2.74, 1 Na 2.77, 3 Pm 2.84-2.86

Computed properties:
The raw formation energy comes out at -1.95 eV/atom. The raw total energy is -6.141 eV per atom. The space group is R-3m.


(2)
# PrPN2Cl

A relaxed PrPN2Cl crystal (PBE, Alexandria via LeMat-Bulk).

Cell lengths 5.7949, 3.6819, 8.7935 Å; angles 90.00, 104.65, 90.00 degrees
Last column: nearest neighbours and their distance in Å.
Fractional coordinates of all 10 atoms:
Pr: 0.1189 0.2500 0.2705  4 N 2.49-2.51
Pr: 0.8811 0.7500 0.7295  4 N 2.49-2.51
P: 0.4439 0.2500 0.8943  2 N 1.55-1.56
P: 0.5561 0.7500 0.1057  2 N 1.55-1.56
N: 0.1662 0.2500 0.8433  1 P 1.56
N: 0.3483 0.7500 0.1876  1 P 1.55
N: 0.6517 0.2500 0.8124  1 P 1.55
N: 0.8338 0.7500 0.1567  1 P 1.56
Cl: 0.2527 0.7500 0.5332  3 Pr 2.90-3.08, 1 N 3.22
Cl: 0.7473 0.2500 0.4668  3 Pr 2.90-3.08, 1 N 3.22

Computed properties:
The raw formation energy comes out at -0.94 eV/atom. The raw total energy is -6.682 eV per atom. The space group is P2_1/m.


(3)
# Tb4Er8Mg

A relaxed Tb4Er8Mg crystal (PBE, Alexandria via LeMat-Bulk).

Cell lengths 10.2565, 10.2565, 10.2565 Å; angles 40.51, 40.51, 40.51 degrees
Last column: nearest neighbours and their distance in Å.
Fractional coordinates of all 13 atoms:
Tb: 0.0000 0.0000 0.0000  6 Er 3.36, 6 Tb 3.55
Tb: 0.0000 0.5000 0.5000  4 Er 3.47, 6 Tb 3.55
Tb: 0.5000 0.0000 0.5000  4 Er 3.47, 6 Tb 3.55
Tb: 0.5000 0.5000 0.0000  4 Er 3.47, 6 Tb 3.55
Er: 0.2121 0.2121 0.2121  9 Er 3.62-3.76, 3 Tb 3.99
Er: 0.2151 0.7461 0.7461  1 Mg 2.92
Er: 0.2539 0.2539 0.7849  1 Mg 2.92
Er: 0.2539 0.7849 0.2539  1 Mg 2.92
Er: 0.7461 0.2151 0.7461  1 Mg 2.92
Er: 0.7461 0.7461 0.2151  1 Mg 2.92
Er: 0.7849 0.2539 0.2539  1 Mg 2.92
Er: 0.7879 0.7879 0.7879  9 Er 3.62-3.76, 3 Tb 3.99
Mg: 0.5000 0.5000 0.5000  6 Er 2.92

Computed properties:
For the formation energy, the calculation gives 0.20 eV/atom. The raw total energy is -4.157 eV per atom. The space group is R-3m.


(4)
# ScBe3Cu

A relaxed ScBe3Cu crystal (PBE, Alexandria via LeMat-Bulk).

Cell lengths 4.0370, 4.0370, 4.0370 Å; angles 90.00, 90.00, 90.00 degrees
Last column: nearest neighbours and their distance in Å.
Fractional coordinates of all 5 atoms:
Sc: 0.0000 0.0000 0.0000  12 Be 2.85
Be: 0.0000 0.5000 0.5000  2 Cu 2.02
Be: 0.5000 0.0000 0.5000  2 Cu 2.02
Be: 0.5000 0.5000 0.0000  2 Cu 2.02
Cu: 0.5000 0.5000 0.5000  6 Be 2.02

Computed properties:
For the formation energy, the calculation gives 0.18 eV/atom. The energy above the lowest structure with this stoichiometry is 0.000 eV per atom. The raw total energy is -4.144 eV per atom. The space group is Pm-3m.


(5)
# Li8GePd6

A relaxed Li8GePd6 crystal (PBE, Alexandria via LeMat-Bulk).

Cell lengths 6.7236, 6.7236, 6.7236 Å; angles 67.78, 67.78, 67.78 degrees
Last column: nearest neighbours and their distance in Å.
Fractional coordinates of all 15 atoms:
Li: 0.0504 0.7098 0.3758  5 Pd 2.53-2.83
Li: 0.1687 0.1687 0.1687  6 Pd 2.59-2.60
Li: 0.2902 0.6242 0.9496  5 Pd 2.53-2.83
Li: 0.3758 0.0504 0.7098  5 Pd 2.53-2.83
Li: 0.6242 0.9496 0.2902  5 Pd 2.53-2.83
Li: 0.7098 0.3758 0.0504  5 Pd 2.53-2.83
Li: 0.8313 0.8313 0.8313  6 Pd 2.59-2.60
Li: 0.9496 0.2902 0.6242  5 Pd 2.53-2.83
Ge: 0.5000 0.5000 0.5000  6 Pd 2.56
Pd: 0.1278 0.4569 0.7873  7 Li 2.53-2.83, 1 Ge 2.56, 2 Pd 2.80
Pd: 0.2127 0.8722 0.5431  7 Li 2.53-2.83, 1 Ge 2.56, 2 Pd 2.80
Pd: 0.4569 0.7873 0.1278  7 Li 2.53-2.83, 1 Ge 2.56, 2 Pd 2.80
Pd: 0.5431 0.2127 0.8722  7 Li 2.53-2.83, 1 Ge 2.56, 2 Pd 2.80
Pd: 0.7873 0.1278 0.4569  7 Li 2.53-2.83, 1 Ge 2.56, 2 Pd 2.80
Pd: 0.8722 0.5431 0.2127  7 Li 2.53-2.83, 1 Ge 2.56, 2 Pd 2.80

Computed properties:
For the formation energy, the calculation gives -0.31 eV/atom. The raw total energy is -3.718 eV per atom. The space group is R-3.


(6)
# Y2TiRhW

A relaxed Y2TiRhW crystal (PBE, Alexandria via LeMat-Bulk).

Cell lengths 5.2742, 5.2742, 4.4066 Å; angles 90.00, 90.00, 90.00 degrees
Last column: nearest neighbours and their distance in Å.
Fractional coordinates of all 5 atoms:
Y: 0.0000 0.5000 0.0000  2 Ti 2.64
Y: 0.5000 0.0000 0.0000  2 Ti 2.64
Ti: 0.0000 0.0000 0.0000  2 W 2.20
Rh: 0.5000 0.5000 0.5000  8 Y 3.44, 4 W 3.73
W: 0.0000 0.0000 0.5000  2 Ti 2.20

Computed properties:
For the formation energy, the calculation gives 1.10 eV/atom. The raw total energy is -7.122 eV per atom. The space group is P4/mmm.


(7)
# TmBiIrPd

A relaxed TmBiIrPd crystal (PBE, Alexandria via LeMat-Bulk).

Cell lengths 4.8409, 4.8409, 4.8409 Å; angles 60.00, 60.00, 60.00 degrees
Last column: nearest neighbours and their distance in Å.
Fractional coordinates of all 4 atoms:
Tm: 0.0000 0.0000 0.0000  4 Ir 2.96, 4 Pd 2.96
Bi: 0.5000 0.5000 0.5000  4 Ir 2.96, 4 Pd 2.96
Ir: 0.7500 0.7500 0.7500  4 Bi 2.96, 4 Tm 2.96
Pd: 0.2500 0.2500 0.2500  4 Bi 2.96, 4 Tm 2.96

Computed properties:
For the formation energy, the calculation gives -0.51 eV/atom. The raw total energy is -6.110 eV per atom. The space group is F-43m.


(8)
# ZrIn2Co

A relaxed ZrIn2Co crystal (PBE, Alexandria via LeMat-Bulk).

Cell lengths 9.3289, 9.3289, 9.3289 Å; angles 19.54, 19.54, 19.54 degrees
Last column: nearest neighbours and their distance in Å.
Fractional coordinates of all 4 atoms:
Zr: 0.0000 0.0000 0.0000  6 Zr 3.17, 6 In 3.17
In: 0.2388 0.2388 0.2388  3 Co 2.70
In: 0.7612 0.7612 0.7612  3 Co 2.70
Co: 0.5000 0.5000 0.5000  6 In 2.70

Computed properties:
For the formation energy, the calculation gives 0.13 eV/atom. The raw total energy is -5.153 eV per atom. The space group is R-3m.


(9)
# RbTaTeS6

A relaxed RbTaTeS6 crystal (PBE, Alexandria via LeMat-Bulk).

Cell lengths 6.4765, 6.4765, 7.6335 Å; angles 90.00, 90.00, 120.00 degrees
Last column: nearest neighbours and their distance in Å.
Fractional coordinates of all 9 atoms:
Rb: 0.0000 0.0000 0.0000  6 S 3.45
Ta: 0.3333 0.6667 0.5000  6 S 2.44
Te: 0.6667 0.3333 0.5000  6 S 2.53
S: 0.0102 0.3943 0.6922  1 Ta 2.44, 1 Te 2.53
S: 0.0102 0.6159 0.3078  1 Ta 2.44, 1 Te 2.53
S: 0.3841 0.3943 0.3078  1 Ta 2.44, 1 Te 2.53
S: 0.3841 0.9898 0.6922  1 Ta 2.44, 1 Te 2.53
S: 0.6057 0.6159 0.6922  1 Ta 2.44, 1 Te 2.53
S: 0.6057 0.9898 0.3078  1 Ta 2.44, 1 Te 2.53

Computed properties:
The raw formation energy comes out at -0.47 eV/atom. The raw total energy is -4.998 eV per atom. The space group is P312.


(10)
# PaTi3Bi3

A relaxed PaTi3Bi3 crystal (PBE, Alexandria via LeMat-Bulk).

Cell lengths 9.0968, 9.0968, 4.7440 Å; angles 90.00, 90.00, 120.00 degrees
Last column: nearest neighbours and their distance in Å.
Fractional coordinates of all 14 atoms:
Pa: 0.3333 0.6667 0.2500  9 Bi 3.29-3.51
Pa: 0.6667 0.3333 0.7500  9 Bi 3.29-3.51
Ti: 0.0473 0.8462 0.2500  6 Ti 2.87-2.89, 4 Bi 2.93-3.03
Ti: 0.1538 0.2011 0.2500  6 Ti 2.87-2.89, 4 Bi 2.93-3.03
Ti: 0.2011 0.0473 0.7500  6 Ti 2.87-2.89, 4 Bi 2.93-3.03
Ti: 0.7989 0.9527 0.2500  6 Ti 2.87-2.89, 4 Bi 2.93-3.03
Ti: 0.8462 0.7989 0.7500  6 Ti 2.87-2.89, 4 Bi 2.93-3.03
Ti: 0.9527 0.1538 0.7500  6 Ti 2.87-2.89, 4 Bi 2.93-3.03
Bi: 0.0859 0.6725 0.7500  4 Ti 2.93-3.03
Bi: 0.3275 0.4134 0.7500  4 Ti 2.93-3.03
Bi: 0.4134 0.0859 0.2500  4 Ti 2.93-3.03
Bi: 0.5866 0.9141 0.7500  4 Ti 2.93-3.03
Bi: 0.6725 0.5866 0.2500  4 Ti 2.93-3.03
Bi: 0.9141 0.3275 0.2500  4 Ti 2.93-3.03

Computed properties:
For the formation energy, the calculation gives -0.12 eV/atom. The raw total energy is -6.524 eV per atom. The space group is P6_3/m.


(11)
# LaErPb

A relaxed LaErPb crystal (PBE, Alexandria via LeMat-Bulk).

Cell lengths 6.9114, 6.9114, 6.9114 Å; angles 126.28, 126.28, 79.42 degrees
Last column: nearest neighbours and their distance in Å.
Fractional coordinates of all 6 atoms:
La: 0.0000 0.0000 0.0000  3 Pb 3.20-3.37, 2 Er 3.51
La: 0.7500 0.2500 0.5000  3 Pb 3.20-3.37, 2 Er 3.51
Er: 0.3498 0.8498 0.5000  3 Pb 3.01-3.14
Er: 0.5998 0.5998 0.0000  3 Pb 3.01-3.14
Pb: 0.0670 0.5669 0.5000  3 Er 3.01-3.14, 2 La 3.20
Pb: 0.3170 0.3170 0.0000  3 Er 3.01-3.14, 2 La 3.20

Computed properties:
For the formation energy, the calculation gives -0.03 eV/atom. The energy above the lowest structure with this stoichiometry is 0.456 eV per atom. The raw total energy is -4.430 eV per atom. The space group is I4_1md.


(12)
# PaNbPb

A relaxed PaNbPb crystal (PBE, Alexandria via LeMat-Bulk).

Cell lengths 6.4884, 6.4884, 6.4884 Å; angles 148.89, 148.89, 44.57 degrees
Last column: nearest neighbours and their distance in Å.
Fractional coordinates of all 3 atoms:
Pa: 0.0000 0.0000 0.0000  4 Nb 3.06
Nb: 0.3479 0.3479 0.0000  4 Pb 2.99, 4 Pa 3.06
Pb: 0.7059 0.7059 0.0000  4 Nb 2.99

Computed properties:
For the formation energy, the calculation gives 0.29 eV/atom. The energy above the lowest structure with this stoichiometry is 0.172 eV per atom. The raw total energy is -7.464 eV per atom. The space group is I4mm.